V4TcMo2: optimized geometry, PBE.

Cell lengths 16.681, 16.681, 2.555 Å; angles 90.00, 90.00, 171.36 degrees
Positions (direct):
V 0.150 0.850 0.000
V 0.286 0.714 0.500
V 0.714 0.286 0.500
V 0.850 0.150 0.000
Tc 0.500 0.500 0.500
Mo 0.424 0.576 0.000
Mo 0.576 0.424 0.000

Values from the calculation:
For the total energy, the calculation gives -64.80 eV per formula unit. The formation energy from the elements is 0.529 eV per atom. For the energy relative to the lowest polymorph listed for this composition, the calculation gives 328 meV per atom.



V6TcMo12: optimized geometry, PBE.

Cell lengths 7.320, 7.320, 7.320 Å; angles 110.24, 110.24, 110.24 degrees
Positions (direct):
V 0.061 0.357 0.552
V 0.357 0.552 0.061
V 0.448 0.939 0.643
V 0.552 0.061 0.357
V 0.643 0.448 0.939
V 0.939 0.643 0.448
Tc 0.000 0.000 0.000
Mo 0.082 0.733 0.196
Mo 0.196 0.082 0.733
Mo 0.206 0.472 0.311
Mo 0.267 0.804 0.918
Mo 0.311 0.206 0.472
Mo 0.472 0.311 0.206
Mo 0.528 0.689 0.794
Mo 0.689 0.794 0.528
Mo 0.733 0.196 0.082
Mo 0.794 0.528 0.689
Mo 0.804 0.918 0.267
Mo 0.918 0.267 0.804

Values from the calculation:
For the total energy, the calculation gives -189.95 eV per formula unit. The formation energy from the elements is 0.268 eV per atom.